First-principles (PBE) data for a geometry-optimized AcPr2Nd9 structure, as listed in Alexandria via LeMat-Bulk.

Calculated values
- crystal system = tetragonal
- energy relative to the elements (eV/f.u.) = 0.20
- calculated volume (Å³ per cell) = 433.1

Cell lengths 5.2443, 5.2443, 15.7478 Å; angles 90.00, 90.00, 90.00 degrees
Fractional positions:
Ac  0.0000  0.0000  0.0000
Pr  0.0000  0.0000  0.3349
Pr  0.0000  0.0000  0.6651
Nd  0.0000  0.5000  0.1711
Nd  0.0000  0.5000  0.5000
Nd  0.0000  0.5000  0.8289
Nd  0.5000  0.0000  0.1711
Nd  0.5000  0.0000  0.5000
Nd  0.5000  0.0000  0.8289
Nd  0.5000  0.5000  0.0000
Nd  0.5000  0.5000  0.3357
Nd  0.5000  0.5000  0.6643

***

First-principles (PBE) data for a geometry-optimized AcPrNd6 structure, as listed in Alexandria via LeMat-Bulk.

Calculated values
- crystal system = tetragonal
- energy relative to the elements (eV/f.u.) = 0.15
- calculated volume (Å³ per cell) = 291.4

Cell lengths 5.2610, 5.2610, 10.5283 Å; angles 90.00, 90.00, 90.00 degrees
Fractional positions:
Ac  0.0000  0.0000  0.0000
Pr  0.0000  0.0000  0.5000
Nd  0.0000  0.5000  0.2552
Nd  0.0000  0.5000  0.7448
Nd  0.5000  0.0000  0.2552
Nd  0.5000  0.0000  0.7448
Nd  0.5000  0.5000  0.0000
Nd  0.5000  0.5000  0.5000

***

First-principles (PBE) data for a geometry-optimized Ac2PrNd3 structure, as listed in Alexandria via LeMat-Bulk.

Calculated values
- energy above the most stable polymorph in this dataset (meV/atom) = 188
- crystal system = orthorhombic
- energy relative to the elements (eV/f.u.) = 1.43
- calculated volume (Å³ per cell) = 475.7

Cell lengths 6.8672, 18.9488, 3.6559 Å; angles 90.00, 90.00, 90.00 degrees
Fractional positions:
Ac  0.2173  0.1900  0.0000
Ac  0.2827  0.6900  0.5000
Ac  0.7173  0.3100  0.5000
Ac  0.7827  0.8100  0.0000
Pr  0.0000  0.0000  0.0000
Pr  0.5000  0.5000  0.5000
Nd  0.0000  0.5000  0.0000
Nd  0.2138  0.3609  0.5000
Nd  0.2862  0.8609  0.0000
Nd  0.5000  0.0000  0.5000
Nd  0.7138  0.1391  0.0000
Nd  0.7862  0.6391  0.5000

***

| no. | DOS(E_F) (states/eV per cell) |
| --- | --- |
| 1 | 20.3 |
| 2 | 13.2 |
| 3 | 20.1 |